Arrangement i

A relaxed CaAcNdY crystal, computed with GGA-PBE.

Cell: 8.4725 8.4725 8.4725 Å, 90.00 90.00 90.00°
Space group F-43m (No. 216)
Symmetry-distinct sites (fractional):
1 Ca 0.0000 0.0000 0.0000 (multiplicity 4)
2 Ac 0.0000 0.0000 0.5000 (multiplicity 4)
3 Nd 0.2500 0.2500 0.2500 (multiplicity 4)
4 Y 0.2500 0.2500 0.7500 (multiplicity 4)

---

Arrangement ii

A relaxed CaAcNdY crystal, computed with GGA-PBE.

Cell: 3.7994 3.7994 10.6723 Å, 90.00 90.00 90.00°
Space group P4mm (No. 99)
Symmetry-distinct sites (fractional):
1 Ca 0.0000 0.0000 0.0000 (multiplicity 1)
2 Ac 0.5000 0.5000 0.7196 (multiplicity 1)
3 Nd 0.0000 0.0000 0.4689 (multiplicity 1)
4 Y 0.5000 0.5000 0.2489 (multiplicity 1)

---

Most stable one: arrangement ii, least stable one: arrangement i.

---

Arrangement i

A relaxed CaAc2Ni crystal, computed with GGA-PBE.

Cell: 7.5849 10.5922 6.7488 Å, 90.00 90.00 90.00°
Space group Pnma (No. 62)
Symmetry-distinct sites (fractional):
1 Ca 0.0440 0.2500 0.1610 (multiplicity 4)
2 Ac 0.1714 0.0709 0.6781 (multiplicity 8)
3 Ni 0.1148 0.7500 0.4217 (multiplicity 4)

---

Arrangement ii

A relaxed CaAc2Ni crystal, computed with GGA-PBE.

Cell: 4.1941 4.1941 30.2352 Å, 90.00 90.00 120.00°
Space group R3m (No. 160, hexagonal axes)
Symmetry-distinct sites (fractional):
1 Ca 0.0000 0.0000 0.0000 (multiplicity 3)
2 Ac 0.0000 0.0000 0.2221 (multiplicity 3)
3 Ac 0.0000 0.0000 0.4461 (multiplicity 3)
4 Ni 0.0000 0.0000 0.8343 (multiplicity 3)

---

Most stable one: arrangement i, least stable one: arrangement ii.

---

Arrangement i

A relaxed CaAc2Ni crystal, computed with GGA-PBE.

Cell: 3.7605 3.7605 9.8743 Å, 90.00 90.00 90.00°
Space group P4/mmm (No. 123)
Symmetry-distinct sites (fractional):
1 Ca 0.0000 0.0000 0.0000 (multiplicity 1)
2 Ac 0.5000 0.5000 0.3238 (multiplicity 2)
3 Ni 0.0000 0.0000 0.5000 (multiplicity 1)

---

Arrangement ii

A relaxed CaAc2Ni crystal, computed with GGA-PBE.

Cell: 4.1665 4.1665 30.2979 Å, 90.00 90.00 120.00°
Space group R-3m (No. 166, hexagonal axes)
Symmetry-distinct sites (fractional):
1 Ca 0.0000 0.0000 0.0000 (multiplicity 3)
2 Ac 0.0000 0.0000 0.2221 (multiplicity 6)
3 Ni 0.0000 0.0000 0.5000 (multiplicity 3)

---

Most stable one: arrangement ii, least stable one: arrangement i.

---

Arrangement i

A relaxed Ca3AcNi crystal, computed with GGA-PBE.

Cell: 5.6039 5.6039 5.6039 Å, 90.00 90.00 90.00°
Space group Pm-3m (No. 221)
Symmetry-distinct sites (fractional):
1 Ca 0.0000 0.0000 0.5000 (multiplicity 3)
2 Ac 0.5000 0.5000 0.5000 (multiplicity 1)
3 Ni 0.0000 0.0000 0.0000 (multiplicity 1)

---

Arrangement ii

A relaxed Ca3AcNi crystal, computed with GGA-PBE.

Cell: 6.5663 6.7925 10.4078 Å, 90.00 129.10 90.00°
Space group Pc (No. 7)
Symmetry-distinct sites (fractional):
1 Ca 0.0000 0.1676 0.0000 (multiplicity 2)
2 Ca 0.2475 0.3256 0.7478 (multiplicity 2)
3 Ca 0.4960 0.1677 0.4967 (multiplicity 2)
4 Ac 0.7394 0.3315 0.2479 (multiplicity 2)
5 Ni 0.5040 0.0029 0.2491 (multiplicity 2)

---

Most stable one: arrangement ii, least stable one: arrangement i.

---

Arrangement i

A relaxed Ca2AcNi crystal, computed with GGA-PBE.

Cell: 3.8228 3.8228 32.9286 Å, 90.00 90.00 120.00°
Space group R-3m (No. 166, hexagonal axes)
Symmetry-distinct sites (fractional):
1 Ca 0.0000 0.0000 0.1154 (multiplicity 6)
2 Ac 0.0000 0.0000 0.0000 (multiplicity 3)
3 Ni 0.0000 0.0000 0.5000 (multiplicity 3)

---

Arrangement ii

A relaxed Ca2AcNi crystal, computed with GGA-PBE.

Cell: 3.9847 10.0934 6.7718 Å, 90.00 107.06 90.00°
Space group P2_1/m (No. 11)
Symmetry-distinct sites (fractional):
1 Ca 0.1472 0.0722 0.2940 (multiplicity 4)
2 Ac 0.4137 0.2500 0.8267 (multiplicity 2)
3 Ni 0.2410 0.7500 0.4839 (multiplicity 2)

---

Most stable one: arrangement ii, least stable one: arrangement i.

---

Arrangement i

A relaxed CaAcNi crystal, computed with GGA-PBE.

Cell: 4.1643 4.1643 6.7261 Å, 90.00 90.00 120.00°
Space group P3m1 (No. 156)
Symmetry-distinct sites (fractional):
1 Ca 0.0000 0.0000 0.0000 (multiplicity 1)
2 Ac 0.6667 0.3333 0.5316 (multiplicity 1)
3 Ni 0.3333 0.6667 0.7616 (multiplicity 1)

---

Arrangement ii

A relaxed CaAcNi crystal, computed with GGA-PBE.

Cell: 5.1003 5.1798 7.2089 Å, 90.00 110.73 90.00°
Space group P2_1/m (No. 11)
Symmetry-distinct sites (fractional):
1 Ca 0.1192 0.2500 0.2382 (multiplicity 2)
2 Ac 0.3734 0.2500 0.7480 (multiplicity 2)
3 Ni 0.2557 0.7500 0.5074 (multiplicity 2)

---

Arrangement iii

A relaxed CaAcNi crystal, computed with GGA-PBE.

Cell: 11.7049 4.0106 8.3581 Å, 90.00 99.00 90.00°
Space group C2/m (No. 12)
Symmetry-distinct sites (fractional):
1 Ca 0.0000 0.0000 0.0000 (multiplicity 2)
2 Ca 0.0000 0.5000 0.5000 (multiplicity 2)
3 Ac 0.2490 0.0000 0.7837 (multiplicity 4)
4 Ni 0.2023 0.0000 0.4351 (multiplicity 4)

---

Arrangement iv

A relaxed CaAcNi crystal, computed with GGA-PBE.

Cell: 7.1660 7.1660 7.1660 Å, 90.00 90.00 90.00°
Space group F-43m (No. 216)
Symmetry-distinct sites (fractional):
1 Ca 0.0000 0.0000 0.0000 (multiplicity 4)
2 Ac 0.0000 0.0000 0.5000 (multiplicity 4)
3 Ni 0.2500 0.2500 0.2500 (multiplicity 4)

---

Most stable one: arrangement i, least stable one: arrangement iii.

---

Arrangement i

A relaxed Ca2AcNi6 crystal, computed with GGA-PBE.

Cell: 6.9074 6.9074 4.1655 Å, 90.00 90.00 120.00°
Space group P6/mmm (No. 191)
Symmetry-distinct sites (fractional):
1 Ca 0.3333 0.6667 0.0000 (multiplicity 2)
2 Ac 0.0000 0.0000 0.0000 (multiplicity 1)
3 Ni 0.0000 0.3349 0.5000 (multiplicity 6)

---

Arrangement ii

A relaxed Ca2AcNi6 crystal, computed with GGA-PBE.

Cell: 3.8794 8.1406 11.3719 Å, 90.00 90.00 90.00°
Space group Immm (No. 71)
Symmetry-distinct sites (fractional):
1 Ca 0.0000 0.0000 0.1415 (multiplicity 4)
2 Ac 0.0000 0.5000 0.0000 (multiplicity 2)
3 Ni 0.0000 0.2433 0.3037 (multiplicity 8)
4 Ni 0.0000 0.2924 0.5000 (multiplicity 4)

---

Most stable one: arrangement i, least stable one: arrangement ii.

---

Arrangement i

A relaxed CaAc3Ni crystal, computed with GGA-PBE.

Cell: 13.0768 4.3683 13.4685 Å, 90.00 90.00 90.00°
Space group Pnma (No. 62)
Symmetry-distinct sites (fractional):
1 Ca 0.1111 0.2500 0.0279 (multiplicity 4)
2 Ac 0.0941 0.7500 0.2632 (multiplicity 4)
3 Ac 0.1305 0.2500 0.5381 (multiplicity 4)
4 Ac 0.1602 0.7500 0.7964 (multiplicity 4)
5 Ni 0.0098 0.7500 0.6380 (multiplicity 4)

---

Arrangement ii

A relaxed CaAc3Ni crystal, computed with GGA-PBE.

Cell: 5.8405 5.8405 5.8405 Å, 90.00 90.00 90.00°
Space group Pm-3m (No. 221)
Symmetry-distinct sites (fractional):
1 Ca 0.0000 0.0000 0.0000 (multiplicity 1)
2 Ac 0.0000 0.5000 0.5000 (multiplicity 3)
3 Ni 0.5000 0.5000 0.5000 (multiplicity 1)

---

Most stable one: arrangement i, least stable one: arrangement ii.

---

Arrangement i

A relaxed CaAcO2 crystal, computed with GGA-PBE.

Cell: 3.5044 3.5044 19.2366 Å, 90.00 90.00 120.00°
Space group R3m (No. 160, hexagonal axes)
Symmetry-distinct sites (fractional):
1 Ca 0.0000 0.0000 0.0000 (multiplicity 3)
2 Ac 0.0000 0.0000 0.1721 (multiplicity 3)
3 O 0.0000 0.0000 0.5965 (multiplicity 3)
4 O 0.0000 0.0000 0.7484 (multiplicity 3)

---

Arrangement ii

A relaxed CaAcO2 crystal, computed with GGA-PBE.

Cell: 3.5762 3.5762 18.2298 Å, 90.00 90.00 120.00°
Space group R-3m (No. 166, hexagonal axes)
Symmetry-distinct sites (fractional):
1 Ca 0.0000 0.0000 0.0000 (multiplicity 3)
2 Ac 0.0000 0.0000 0.5000 (multiplicity 3)
3 O 0.0000 0.0000 0.2596 (multiplicity 6)

---

Most stable one: arrangement ii, least stable one: arrangement i.

---

Arrangement i

A relaxed Ca2AcO crystal, computed with GGA-PBE.

Cell: 3.3246 3.3246 9.5603 Å, 90.00 90.00 90.00°
Space group P4/mmm (No. 123)
Symmetry-distinct sites (fractional):
1 Ca 0.0000 0.0000 0.1529 (multiplicity 2)
2 Ac 0.5000 0.5000 0.5000 (multiplicity 1)
3 O 0.5000 0.5000 0.0000 (multiplicity 1)

---

Arrangement ii

A relaxed Ca2AcO crystal, computed with GGA-PBE.

Cell: 3.6445 3.6445 29.0618 Å, 90.00 90.00 120.00°
Space group R-3m (No. 166, hexagonal axes)
Symmetry-distinct sites (fractional):
1 Ca 0.0000 0.0000 0.2142 (multiplicity 6)
2 Ac 0.0000 0.0000 0.0000 (multiplicity 3)
3 O 0.0000 0.0000 0.5000 (multiplicity 3)

---

Most stable one: arrangement ii, least stable one: arrangement i.